[1]
Material: NaZn
Method: DFT, PBE-GGA
State: optimized geometry Values from VASP.

## Properties
SG: P4/mmm (123)

```
&SYSTEM
  ibrav = 0, nat = 2, ntyp = 2
/
ATOMIC_SPECIES
Na 22.99 Na.upf
Zn 65.41 Zn.upf
CELL_PARAMETERS angstrom
3.159 0.000 0.000
0.000 3.159 0.000
0.000 0.000 4.540
ATOMIC_POSITIONS angstrom
Na 0.000 0.000 0.000
Zn 1.580 1.580 2.270
```



[2]
Material: NaZn3
Method: DFT, PBE-GGA
State: optimized geometry Values from VASP.

## Properties
SG: Pmm2 (25)

```
&SYSTEM
  ibrav = 0, nat = 4, ntyp = 2
/
ATOMIC_SPECIES
Na 22.99 Na.upf
Zn 65.41 Zn.upf
CELL_PARAMETERS angstrom
2.745 0.000 0.000
0.000 4.383 0.000
0.000 0.000 6.183
ATOMIC_POSITIONS angstrom
Na 0.000 2.192 1.901
Zn 1.373 2.192 5.093
Zn 0.000 0.000 5.968
Zn 1.373 0.000 3.526
```



[3]
Material: Na2Zn
Method: DFT, PBE-GGA
State: optimized geometry Values from VASP.

## Properties
offset from the most stable computed form: 0.0 kJ per mole of atoms
SG: Fmmm (69)

```
&SYSTEM
  ibrav = 0, nat = 3, ntyp = 2
/
ATOMIC_SPECIES
Zn 65.41 Zn.upf
Na 22.99 Na.upf
CELL_PARAMETERS angstrom
-1.709 0.129 3.265
-1.917 -3.023 -0.885
6.158 -2.024 1.229
ATOMIC_POSITIONS angstrom
Zn -1.813 -1.447 1.190
Na 1.270 -3.909 2.905
Na 1.262 -1.010 0.704
```



[4]
Material: NaZn
Method: DFT, PBE-GGA
State: optimized geometry Values from VASP.

## Properties
SG: P4_2/mnm (136)

```
&SYSTEM
  ibrav = 0, nat = 8, ntyp = 2
/
ATOMIC_SPECIES
Na 22.99 Na.upf
Zn 65.41 Zn.upf
CELL_PARAMETERS angstrom
-1.189 2.203 -5.396
-4.086 -4.242 -0.832
-4.244 3.616 2.411
ATOMIC_POSITIONS angstrom
Na -2.110 0.154 -3.945
Na -6.437 0.140 -3.889
Na -3.165 -2.193 -2.283
Zn -0.836 -0.323 -0.987
Zn -4.439 -1.716 -5.241
Zn -5.219 -0.233 -1.185
Zn -4.300 1.810 -2.632
Na -3.083 1.437 0.071
```



[5]
Material: NaZn
Method: DFT, PBE-GGA
State: optimized geometry Values from VASP.

## Properties
SG: I4/m (87)

```
&SYSTEM
  ibrav = 0, nat = 16, ntyp = 2
/
ATOMIC_SPECIES
Na 22.99 Na.upf
Zn 65.41 Zn.upf
CELL_PARAMETERS angstrom
-2.745 8.793 9.577
-12.942 -0.911 -2.874
-0.272 -2.167 1.912
ATOMIC_POSITIONS angstrom
Na -9.257 -1.303 -0.591
Na -4.023 4.632 4.678
Zn -11.480 5.205 4.267
Zn -4.207 2.678 2.437
Na -11.664 3.250 2.025
Zn -3.773 0.180 1.871
Zn -6.329 6.251 6.185
Zn -9.359 1.632 0.518
Na -1.581 1.557 3.744
Na -9.289 6.582 6.140
Na -6.702 7.019 9.206
Na -14.378 4.158 4.871
Na -6.398 1.300 0.564
Zn -4.397 5.400 7.699
Zn -11.563 0.315 0.916
Zn -12.187 5.535 6.744
```



[6]
Material: Na2Zn7
Method: DFT, PBE-GGA
State: optimized geometry Values from VASP.

## Properties
SG: R-3m (166)

```
&SYSTEM
  ibrav = 0, nat = 18, ntyp = 2
/
ATOMIC_SPECIES
Zn 65.41 Zn.upf
Na 22.99 Na.upf
CELL_PARAMETERS angstrom
5.234 0.000 1.072
2.507 4.594 1.072
-0.025 -0.015 13.442
ATOMIC_POSITIONS angstrom
Zn 5.628 1.781 5.834
Zn 4.716 2.799 10.289
Zn 4.733 2.809 3.520
Na 0.396 0.235 11.382
Zn 2.983 1.771 12.065
Na 7.320 4.344 4.203
Zn 3.871 2.297 1.072
Zn 3.457 0.492 9.752
Zn 5.565 3.303 12.773
Na 1.160 0.689 7.651
Zn 3.858 2.290 7.793
Zn 2.617 0.000 0.536
Zn 1.254 2.297 0.536
Zn 3.000 1.781 5.296
Zn 4.259 4.087 5.834
Zn 2.151 1.277 2.812
Na 6.556 3.891 7.935
Zn 2.088 2.799 9.752
```



[7]
Material: NaZn
Method: DFT, PBE-GGA
State: optimized geometry Values from VASP.

## Properties
SG: F-43m (216)

```
&SYSTEM
  ibrav = 0, nat = 8, ntyp = 2
/
ATOMIC_SPECIES
Na 22.99 Na.upf
Zn 65.41 Zn.upf
CELL_PARAMETERS angstrom
6.790 0.000 0.000
0.000 6.790 0.000
0.000 0.000 6.790
ATOMIC_POSITIONS angstrom
Na 1.697 5.092 5.092
Zn 3.395 0.000 3.395
Na 5.092 1.697 5.092
Zn 0.000 0.000 0.000
Na 1.697 1.697 1.697
Na 5.092 5.092 1.697
Zn 3.395 3.395 0.000
Zn 0.000 3.395 3.395
```



[8]
Material: NaZn
Method: DFT, PBE-GGA
State: optimized geometry Values from VASP.

## Properties
SG: P6_3/mmc (194)

```
&SYSTEM
  ibrav = 0, nat = 12, ntyp = 2
/
ATOMIC_SPECIES
Zn 65.41 Zn.upf
Na 22.99 Na.upf
CELL_PARAMETERS angstrom
8.543 0.000 0.000
-4.272 7.399 0.000
0.000 0.000 4.579
ATOMIC_POSITIONS angstrom
Zn 1.344 4.157 1.145
Zn 2.928 3.242 3.434
Na 0.000 2.539 3.434
Zn 0.000 6.485 1.145
Na 4.272 4.860 1.145
Zn 4.272 0.914 3.434
Na -2.073 6.130 3.434
Zn -1.344 4.157 1.145
Na 2.198 1.269 1.145
Zn 5.616 3.242 3.434
Na 6.345 1.269 1.145
Na 2.073 6.130 3.434
```



Formation enthalpy at 0 K across the listed records, respectively: 0.103; 0.092; 0.088; 0.227; 0.235; -0.037; 0.537; 0.056 eV/atom.